(1)
{
  "formula": "DyHo2Sn3Pt3",
  "functional": "GGA-PBE",
  "state": "relaxed",
  "magnetic_moment_mub_per_cell": 0.0,
  "dft_energy_ev_per_cell": -53.799,
  "lattice_angstrom": [[4.012, 0.000, 0.000], [0.000, 6.504, 3.751], [0.000, -6.504, 3.751]],
  "species": ["Dy", "Ho", "Ho", "Sn", "Sn", "Sn", "Pt", "Pt", "Pt"],
  "frac_coords": [[0.000, 0.000, 0.000], [0.000, 0.187, 0.594], [0.000, 0.594, 0.187], [0.500, 0.335, 0.335], [0.500, 0.593, 0.852], [0.500, 0.852, 0.593], [0.000, 0.593, 0.593], [0.500, 0.261, 0.927], [0.500, 0.927, 0.261]]
}

(2)
{
  "formula": "Dy2HoSn3Pt3",
  "functional": "GGA-PBE",
  "state": "relaxed",
  "magnetic_moment_mub_per_cell": 0.0,
  "dft_energy_ev_per_cell": -53.827,
  "lattice_angstrom": [[4.016, 0.000, 0.000], [0.000, 6.503, 3.758], [0.000, -6.503, 3.758]],
  "species": ["Dy", "Dy", "Ho", "Sn", "Sn", "Sn", "Pt", "Pt", "Pt"],
  "frac_coords": [[0.000, 0.203, 0.797], [0.000, 0.797, 0.203], [0.000, 0.390, 0.390], [0.500, 0.055, 0.055], [0.500, 0.538, 0.797], [0.500, 0.797, 0.538], [0.000, 0.796, 0.796], [0.500, 0.131, 0.463], [0.500, 0.463, 0.131]]
}

(3)
{
  "formula": "TbDy2HoPt4",
  "functional": "GGA-PBE",
  "state": "relaxed",
  "ef_ev_per_atom": -1.2138,
  "magnetic_moment_mub_per_cell": 0.0,
  "dft_energy_ev_per_cell": -52.343,
  "lattice_angstrom": [[4.909, 0.000, 0.000], [0.000, 4.909, 0.000], [0.000, 0.000, 6.944]],
  "species": ["Tb", "Dy", "Dy", "Ho", "Pt", "Pt", "Pt", "Pt"],
  "frac_coords": [[0.000, 0.000, 0.000], [0.000, 0.000, 0.500], [0.500, 0.500, 0.000], [0.500, 0.500, 0.500], [0.000, 0.500, 0.251], [0.000, 0.500, 0.749], [0.500, 0.000, 0.251], [0.500, 0.000, 0.749]]
}

(4)
{
  "formula": "Dy3Ho3Te2Pt",
  "functional": "GGA-PBE",
  "state": "relaxed",
  "magnetic_moment_mub_per_cell": 0.8,
  "dft_energy_ev_per_cell": -48.053,
  "polymorph_energy_ev_per_fu": 0.00,
  "lattice_angstrom": [[8.400, 0.000, 0.000], [-4.200, 7.275, 0.000], [0.000, 0.000, 3.932]],
  "species": ["Dy", "Dy", "Dy", "Ho", "Ho", "Ho", "Te", "Te", "Pt"],
  "frac_coords": [[0.000, 0.401, 0.000], [0.401, 0.000, 0.000], [0.599, 0.599, 0.000], [0.000, 0.754, 0.500], [0.246, 0.246, 0.500], [0.754, 0.000, 0.500], [0.333, 0.667, 0.500], [0.667, 0.333, 0.500], [0.000, 0.000, 0.000]]
}

(5)
{
  "formula": "Dy3Ho3Te2Pt",
  "functional": "GGA-PBE",
  "state": "relaxed",
  "magnetic_moment_mub_per_cell": 0.7,
  "dft_energy_ev_per_cell": -47.907,
  "polymorph_energy_ev_per_fu": 0.15,
  "lattice_angstrom": [[8.412, 0.000, 0.000], [-4.206, 7.285, 0.000], [0.000, 0.000, 3.932]],
  "species": ["Dy", "Dy", "Dy", "Ho", "Ho", "Ho", "Te", "Te", "Pt"],
  "frac_coords": [[0.000, 0.754, 0.000], [0.246, 0.246, 0.000], [0.754, 0.000, 0.000], [0.000, 0.401, 0.500], [0.401, 0.000, 0.500], [0.599, 0.599, 0.500], [0.333, 0.667, 0.000], [0.667, 0.333, 0.000], [0.000, 0.000, 0.500]]
}

(6)
{
  "formula": "DyHoTl2Pt4",
  "functional": "GGA-PBE",
  "state": "relaxed",
  "magnetic_moment_mub_per_cell": 0.0,
  "dft_energy_ev_per_cell": -44.122,
  "lattice_angstrom": [[4.631, 0.000, 0.000], [-2.316, 4.011, 0.000], [0.000, 0.000, 8.976]],
  "species": ["Dy", "Ho", "Tl", "Tl", "Pt", "Pt", "Pt", "Pt"],
  "frac_coords": [[0.000, 0.000, 0.000], [0.333, 0.667, 0.500], [0.667, 0.333, 0.250], [0.667, 0.333, 0.750], [0.000, 0.000, 0.346], [0.000, 0.000, 0.654], [0.333, 0.667, 0.155], [0.333, 0.667, 0.845]]
}